CaZn2BO4: optimized geometry, PBE.

a b c (Å): 4.8139 4.8139 5.2861
angles (deg): 117.07 117.07 90.03
Fractional coordinates of all 8 atoms:
Zn  0.2501  0.7501  0.5002
Zn  0.7501  0.2501  0.5002
O  0.2100  0.2100  0.7863
O  0.5763  0.5763  0.7863
O  0.7898  0.4237  0.2136
O  0.4237  0.7898  0.2136
B  0.5000  0.5000  0.0000
Ca  0.0002  0.0002  0.0004

Results
symmetry: No. 121
raw formation energy: -1.786 eV/atom
energy: -5.669 eV/atom
crystal system: tetragonal
magnetic moment: 0.0 μB/cell
Fermi-level density of states: 0.898 states/eV/f.u.